Computed, not measured: crystalline Tb3DyY6 at its relaxed geometry at the PBE level of DFT.

Computed properties:
- Formation enthalpy at 0 K: 114 meV per atom
- V: 32.4 Å³ per atom
- Total magnetization: 0.00 μB/f.u.
- Calculated density: 6.01 Mg/m³
- Fermi-level density of states: 1.620 states/eV/atom

Cell: 11.5661 11.5661 6.3973 Å, 90.00 90.00 130.75°
Fractional positions:
Tb (0.0802, 0.9198, 0.5000)
Tb (0.2040, 0.4597, 0.8941)
Tb (0.4597, 0.2040, 0.3941)
Tb (0.5403, 0.7960, 0.8941)
Tb (0.7960, 0.5403, 0.3941)
Tb (0.9198, 0.0802, 0.0000)
Dy (0.3391, 0.6609, 0.4221)
Dy (0.6609, 0.3391, 0.9221)
Y (0.0423, 0.6051, 0.7338)
Y (0.1212, 0.2422, 0.4752)
Y (0.1986, 0.8014, 0.1960)
Y (0.2422, 0.1212, 0.9752)
Y (0.3949, 0.9577, 0.7338)
Y (0.4855, 0.5145, 0.2235)
Y (0.5145, 0.4855, 0.7235)
Y (0.6051, 0.0423, 0.2338)
Y (0.7578, 0.8788, 0.4752)
Y (0.8014, 0.1986, 0.6960)
Y (0.8788, 0.7578, 0.9752)
Y (0.9577, 0.3949, 0.2338)